DFT (PBE) results for KLiNF2 after structural relaxation.

VASP energy   -20.411 eV/f.u.
Symmetry   P4/mmm

Cell: 4.116 4.116 4.134 Å, 90.00 90.00 90.00°
Fractional positions:
K  0.000  0.000  0.000
Li  0.500  0.500  0.500
N  0.500  0.500  0.000
F  0.000  0.500  0.500
F  0.500  0.000  0.500